1.
Here is a geometry-optimized Pr6GaSe3Cl2 structure from the Alexandria database. Energies are from GGA-PBE.

It has space group C2/m (No. 12), with a = 7.385 Å, b = 12.842 Å, c = 7.359 Å, α = 90.00°, β = 109.49° and γ = 90.00°. The asymmetric unit holds Pr at (0.235, 0.000, 0.243), Pr at (0.246, 0.159, 0.758), Ga at (0.000, 0.000, 0.500), Se at (0.000, 0.170, 0.000), Se at (0.000, 0.500, 0.000) and Cl at (0.000, 0.333, 0.500).

As for the calculated total energy: -5.34 eV per atom. The calculation puts the formation energy (no corrections) at -1.52 eV/atom.

2.
Here is a geometry-optimized YCo2Cu structure from the Alexandria database. Energies are from GGA-PBE.

It has space group C2/m (No. 12), with a = 7.101 Å, b = 4.096 Å, c = 5.213 Å, α = 90.00°, β = 116.86° and γ = 90.00°. The asymmetric unit holds Y at (0.000, 0.000, 0.000), Co at (0.189, 0.000, 0.566) and Cu at (0.000, 0.500, 0.500).

As for the calculated total energy: -6.22 eV per atom. For the excess energy over the best structure of this formula in the dataset, the calculation gives 7.5 kJ per mole of atoms. Its energy of formation from the pure elements is -0.029 eV per atom.

3.
Here is a geometry-optimized BaBeAs2 structure from the Alexandria database. Energies are from GGA-PBE.

It has space group Cm (No. 8), with a = 11.800 Å, b = 3.786 Å, c = 5.116 Å, α = 90.00°, β = 90.50° and γ = 90.00°. The asymmetric unit holds Ba at (0.000, 0.000, 0.000), Be at (0.219, 0.000, 0.502), As at (0.097, 0.500, 0.502) and As at (0.324, 0.500, 0.496).

As for the calculated total energy: -4.06 eV per atom. Its energy of formation from the pure elements is -0.323 eV per atom.